No. 1
! GGA-PBE TeBrCl2, relaxed; values from VASP
! Energy above the most stable polymorph in this dataset ... 0.0000 eV per atom
! E_form (uncorrected) ... -402.9 meV per atom
! Theoretical density ... 3160 kg/m³
&SYSTEM
  ibrav = 0, nat = 16, ntyp = 3
/
ATOMIC_SPECIES
Te 127.60 Te.upf
Br 79.90 Br.upf
Cl 35.45 Cl.upf
ATOMIC_POSITIONS crystal
Te 0.250 0.000 0.085
Te 0.250 0.500 0.415
Te 0.750 0.000 0.915
Te 0.750 0.500 0.585
Br 0.075 0.250 0.250
Br 0.425 0.750 0.250
Br 0.575 0.250 0.750
Br 0.925 0.750 0.750
Cl 0.119 0.229 0.945
Cl 0.119 0.271 0.555
Cl 0.381 0.729 0.555
Cl 0.381 0.771 0.945
Cl 0.619 0.229 0.055
Cl 0.619 0.271 0.445
Cl 0.881 0.729 0.445
Cl 0.881 0.771 0.055
CELL_PARAMETERS angstrom
7.885 0.000 0.000
0.000 6.151 0.000
0.000 0.000 12.067



No. 2
! GGA-PBE CaIn2Pd4, relaxed; values from VASP
! Energy above the most stable polymorph in this dataset ... 0.0000 eV per atom
! ΔH_f (0 K) ... -523 meV/atom
! Theoretical density ... 8336 kg/m³
&SYSTEM
  ibrav = 0, nat = 14, ntyp = 3
/
ATOMIC_SPECIES
Ca 40.08 Ca.upf
In 114.82 In.upf
Pd 106.42 Pd.upf
ATOMIC_POSITIONS crystal
Ca 0.000 0.000 0.000
Ca 0.500 0.500 0.500
In 0.217 0.217 0.500
In 0.283 0.717 0.000
In 0.717 0.283 0.000
In 0.783 0.783 0.500
Pd 0.099 0.644 0.500
Pd 0.144 0.401 0.000
Pd 0.356 0.901 0.500
Pd 0.401 0.144 0.000
Pd 0.599 0.856 0.000
Pd 0.644 0.099 0.500
Pd 0.856 0.599 0.000
Pd 0.901 0.356 0.500
CELL_PARAMETERS angstrom
7.920 0.000 0.000
0.000 7.920 0.000
0.000 0.000 4.416



No. 3
! GGA-PBE Ho4TlPdRu2, relaxed; values from VASP
! ΔH_f (0 K) ... -462 meV/atom
! Theoretical density ... 11267 kg/m³
&SYSTEM
  ibrav = 0, nat = 8, ntyp = 4
/
ATOMIC_SPECIES
Ho 164.93 Ho.upf
Tl 204.38 Tl.upf
Pd 106.42 Pd.upf
Ru 101.07 Ru.upf
ATOMIC_POSITIONS crystal
Ho 0.119 0.119 0.119
Ho 0.371 0.371 0.371
Ho 0.629 0.629 0.629
Ho 0.881 0.881 0.881
Tl 0.500 0.500 0.500
Pd 0.000 0.000 0.000
Ru 0.250 0.250 0.250
Ru 0.750 0.750 0.750
CELL_PARAMETERS angstrom
2.474 1.428 8.151
-2.474 1.428 8.151
0.000 -2.857 8.151



No. 4
! GGA-PBE Mg2ZrBe, relaxed; values from VASP
! ΔH_f (0 K) ... 238 meV/atom
! Theoretical density ... 3278 kg/m³
&SYSTEM
  ibrav = 0, nat = 4, ntyp = 3
/
ATOMIC_SPECIES
Mg 24.30 Mg.upf
Zr 91.22 Zr.upf
Be 9.01 Be.upf
ATOMIC_POSITIONS crystal
Mg 0.150 0.000 0.271
Mg 0.850 0.000 0.729
Zr 0.500 0.500 0.000
Be 0.000 0.500 0.500
CELL_PARAMETERS angstrom
3.069 0.000 0.000
0.000 4.534 0.000
-1.213 0.000 5.420



No. 5
! GGA-PBE TbPm8Hg2, relaxed; values from VASP
! ΔH_f (0 K) ... -61 meV/atom
! Theoretical density ... 7882 kg/m³
&SYSTEM
  ibrav = 0, nat = 11, ntyp = 3
/
ATOMIC_SPECIES
Tb 158.93 Tb.upf
Pm 145.00 Pm.upf
Hg 200.59 Hg.upf
ATOMIC_POSITIONS crystal
Tb 0.000 0.000 0.000
Pm 0.092 0.317 0.605
Pm 0.224 0.776 0.000
Pm 0.317 0.092 0.605
Pm 0.400 0.400 0.201
Pm 0.600 0.600 0.799
Pm 0.683 0.908 0.395
Pm 0.776 0.224 0.000
Pm 0.908 0.683 0.395
Hg 0.306 0.694 0.500
Hg 0.694 0.306 0.500
CELL_PARAMETERS angstrom
4.462 -7.630 0.000
4.462 7.630 0.000
-2.080 0.000 5.322



No. 6
! GGA-PBE YMg2CrIn, relaxed; values from VASP
! ΔH_f (0 K) ... 716 meV/atom
! Theoretical density ... 3214 kg/m³
&SYSTEM
  ibrav = 0, nat = 5, ntyp = 4
/
ATOMIC_SPECIES
Y 88.91 Y.upf
Mg 24.30 Mg.upf
Cr 52.00 Cr.upf
In 114.82 In.upf
ATOMIC_POSITIONS crystal
Y 0.000 0.000 0.000
Mg 0.000 0.500 0.500
Mg 0.500 0.000 0.500
Cr 0.500 0.500 0.000
In 0.000 0.000 0.500
CELL_PARAMETERS angstrom
5.200 0.000 0.000
0.000 5.200 0.000
0.000 0.000 5.813



No. 7
! GGA-PBE BaMg3O, relaxed; values from VASP
! Energy above the most stable polymorph in this dataset ... 1.7108 eV per atom
! E_form (uncorrected) ... 1351.7 meV per atom
! Theoretical density ... 1058 kg/m³
&SYSTEM
  ibrav = 0, nat = 5, ntyp = 3
/
ATOMIC_SPECIES
Ba 137.33 Ba.upf
Mg 24.30 Mg.upf
O 16.00 O.upf
ATOMIC_POSITIONS crystal
Ba 0.000 0.000 0.000
Mg 0.000 0.000 0.500
Mg 0.000 0.500 0.000
Mg 0.500 0.000 0.000
O 0.500 0.500 0.500
CELL_PARAMETERS angstrom
7.082 0.000 0.000
0.000 7.082 0.000
0.000 0.000 7.082



No. 8
! GGA-PBE Cd2BiSe4, relaxed; values from VASP
! E_form (uncorrected) ... -318.4 meV per atom
! Theoretical density ... 6934 kg/m³
&SYSTEM
  ibrav = 0, nat = 14, ntyp = 3
/
ATOMIC_SPECIES
Cd 112.41 Cd.upf
Bi 208.98 Bi.upf
Se 78.96 Se.upf
ATOMIC_POSITIONS crystal
Cd 0.134 0.866 0.559
Cd 0.134 0.866 0.941
Cd 0.866 0.134 0.059
Cd 0.866 0.134 0.441
Bi 0.401 0.599 0.750
Bi 0.599 0.401 0.250
Se 0.044 0.956 0.750
Se 0.229 0.771 0.128
Se 0.229 0.771 0.372
Se 0.500 0.500 0.000
Se 0.500 0.500 0.500
Se 0.771 0.229 0.628
Se 0.771 0.229 0.872
Se 0.956 0.044 0.250
CELL_PARAMETERS angstrom
2.077 -6.873 0.000
2.077 6.873 0.000
0.000 0.000 12.578



No. 9
! GGA-PBE Pu2MnB2Ru5, relaxed; values from VASP
! ΔH_f (0 K) ... -264 meV/atom
! Theoretical density ... 12503 kg/m³
&SYSTEM
  ibrav = 0, nat = 20, ntyp = 4
/
ATOMIC_SPECIES
Pu 244.00 Pu.upf
Mn 54.94 Mn.upf
B 10.81 B.upf
Ru 101.07 Ru.upf
ATOMIC_POSITIONS crystal
Pu 0.177 0.323 0.000
Pu 0.323 0.823 0.000
Pu 0.677 0.177 0.000
Pu 0.823 0.677 0.000
Mn 0.000 0.000 0.000
Mn 0.500 0.500 0.000
B 0.123 0.623 0.000
B 0.377 0.123 0.000
B 0.623 0.877 0.000
B 0.877 0.377 0.000
Ru 0.000 0.500 0.500
Ru 0.070 0.782 0.500
Ru 0.218 0.070 0.500
Ru 0.282 0.570 0.500
Ru 0.430 0.282 0.500
Ru 0.500 0.000 0.500
Ru 0.570 0.718 0.500
Ru 0.718 0.430 0.500
Ru 0.782 0.930 0.500
Ru 0.930 0.218 0.500
CELL_PARAMETERS angstrom
9.598 0.000 0.000
0.000 9.598 0.000
0.000 0.000 3.085



No. 10
! GGA-PBE La8Pr5Cd, relaxed; values from VASP
! ΔH_f (0 K) ... 109 meV/atom
! Theoretical density ... 6203 kg/m³
&SYSTEM
  ibrav = 0, nat = 14, ntyp = 3
/
ATOMIC_SPECIES
La 138.91 La.upf
Pr 140.91 Pr.upf
Cd 112.41 Cd.upf
ATOMIC_POSITIONS crystal
La 0.168 0.328 0.840
La 0.194 0.218 0.414
La 0.220 0.806 0.024
La 0.488 0.329 0.160
La 0.671 0.832 0.159
La 0.672 0.512 0.841
La 0.782 0.196 0.976
La 0.804 0.780 0.586
Pr 0.338 0.035 0.683
Pr 0.345 0.662 0.697
Pr 0.352 0.655 0.317
Pr 0.750 0.250 0.500
Pr 0.965 0.648 0.303
Cd 0.000 0.000 0.000
CELL_PARAMETERS angstrom
-5.494 5.494 4.276
5.494 -5.494 4.276
5.494 5.494 -4.276



No. 11
! GGA-PBE La2Ga4Pd3Rh, relaxed; values from VASP
! ΔH_f (0 K) ... -830 meV/atom
! Theoretical density ... 8253 kg/m³
&SYSTEM
  ibrav = 0, nat = 10, ntyp = 4
/
ATOMIC_SPECIES
La 138.91 La.upf
Ga 69.72 Ga.upf
Pd 106.42 Pd.upf
Rh 102.91 Rh.upf
ATOMIC_POSITIONS crystal
La 0.000 0.500 0.249
La 0.500 0.000 0.751
Ga 0.000 0.000 0.500
Ga 0.000 0.500 0.876
Ga 0.500 0.000 0.124
Ga 0.500 0.500 0.500
Pd 0.000 0.000 0.000
Pd 0.000 0.500 0.630
Pd 0.500 0.000 0.370
Rh 0.500 0.500 0.000
CELL_PARAMETERS angstrom
4.388 0.000 0.000
0.000 4.388 0.000
0.000 0.000 10.230



No. 12
! GGA-PBE Sc3SnN, relaxed; values from VASP
! E_form (uncorrected) ... -902.2 meV per atom
! Theoretical density ... 4266 kg/m³
&SYSTEM
  ibrav = 0, nat = 10, ntyp = 3
/
ATOMIC_SPECIES
Sc 44.96 Sc.upf
Sn 118.71 Sn.upf
N 14.01 N.upf
ATOMIC_POSITIONS crystal
Sc 0.145 0.395 0.750
Sc 0.222 0.098 0.124
Sc 0.474 0.098 0.376
Sc 0.526 0.902 0.624
Sc 0.778 0.902 0.876
Sc 0.855 0.605 0.250
Sn 0.000 0.500 0.500
Sn 0.500 0.500 0.000
N 0.153 0.903 0.250
N 0.847 0.097 0.750
CELL_PARAMETERS angstrom
-2.421 6.216 3.460
2.421 -6.216 3.460
2.421 6.216 -3.460



> theoretical density of number 3 (Ho4TlPdRu2)?

11267 kg/m³



> What is the theoretical density in the first record?

3160 kg/m³



Repeat the fourth record exactly.
! GGA-PBE Mg2ZrBe, relaxed; values from VASP
! ΔH_f (0 K) ... 238 meV/atom
! Theoretical density ... 3278 kg/m³
&SYSTEM
  ibrav = 0, nat = 4, ntyp = 3
/
ATOMIC_SPECIES
Mg 24.30 Mg.upf
Zr 91.22 Zr.upf
Be 9.01 Be.upf
ATOMIC_POSITIONS crystal
Mg 0.150 0.000 0.271
Mg 0.850 0.000 0.729
Zr 0.500 0.500 0.000
Be 0.000 0.500 0.500
CELL_PARAMETERS angstrom
3.069 0.000 0.000
0.000 4.534 0.000
-1.213 0.000 5.420



Repeat the seventh record exactly.
! GGA-PBE BaMg3O, relaxed; values from VASP
! Energy above the most stable polymorph in this dataset ... 1.7108 eV per atom
! E_form (uncorrected) ... 1351.7 meV per atom
! Theoretical density ... 1058 kg/m³
&SYSTEM
  ibrav = 0, nat = 5, ntyp = 3
/
ATOMIC_SPECIES
Ba 137.33 Ba.upf
Mg 24.30 Mg.upf
O 16.00 O.upf
ATOMIC_POSITIONS crystal
Ba 0.000 0.000 0.000
Mg 0.000 0.000 0.500
Mg 0.000 0.500 0.000
Mg 0.500 0.000 0.000
O 0.500 0.500 0.500
CELL_PARAMETERS angstrom
7.082 0.000 0.000
0.000 7.082 0.000
0.000 0.000 7.082